1.
# Li3TiNi SCAN single point on PBEsol structure
# Spin magnetization   2.9 μB per formula unit
# VASP energy   -6.4357 eV per atom
# ΔE_f   1.44 eV/atom
# Volume   20.20 A^3/atom
data_Li3TiNi
_chemical_formula_sum 'Li3 Ti1 Ni1'
_symmetry_space_group_name_H-M 'P 1'
_symmetry_Int_Tables_number 1
_cell_length_a 4.657
_cell_length_b 4.657
_cell_length_c 4.657
_cell_angle_alpha 90.00
_cell_angle_beta 90.00
_cell_angle_gamma 90.00
loop_
_symmetry_equiv_pos_as_xyz
'x,y,z'
loop_
_atom_site_label
_atom_site_type_symbol
_atom_site_fract_x
_atom_site_fract_y
_atom_site_fract_z
_atom_site_occupancy
Li1 Li 0.000 0.000 0.500 1
Li2 Li 0.000 0.500 0.000 1
Li3 Li 0.500 0.000 0.000 1
Ti1 Ti 0.000 0.000 0.000 1
Ni1 Ni 0.500 0.500 0.500 1

---

2.
# Li2TlNi SCAN single point on PBEsol structure
# Spin magnetization   0.0 μB per formula unit
# VASP energy   -23.3175 eV per atom
# ΔE_f   0.01 eV/atom
# Volume   15.18 A^3/atom
data_Li2TlNi
_chemical_formula_sum 'Li2 Tl1 Ni1'
_symmetry_space_group_name_H-M 'P 1'
_symmetry_Int_Tables_number 1
_cell_length_a 4.616
_cell_length_b 4.616
_cell_length_c 3.028
_cell_angle_alpha 90.00
_cell_angle_beta 90.00
_cell_angle_gamma 109.74
loop_
_symmetry_equiv_pos_as_xyz
'x,y,z'
loop_
_atom_site_label
_atom_site_type_symbol
_atom_site_fract_x
_atom_site_fract_y
_atom_site_fract_z
_atom_site_occupancy
Li1 Li 0.000 0.500 0.000 1
Li2 Li 0.500 0.000 0.000 1
Tl1 Tl 0.000 0.000 0.500 1
Ni1 Ni 0.500 0.500 0.500 1